1:
Compound: Li2CoRe
Source: the Alexandria database
Functional: PBE-GGA
Structure: optimized geometry

The volume comes out at 102 Å³ per cell. Its density of states at the Fermi level is 4.7 states/eV/f.u. The crystal system is tetragonal.

Lattice parameters (Å, degrees): 5.2152 5.2152 5.2152 101.69 101.69 126.50
Last column: nearest neighbours and their distance in Å.
Atoms (fractional coordinates):
Li 0.1009 0.6250 0.9759  2 Co 2.30, 2 Li 2.37, 2 Re 2.51
Li 0.3750 0.3509 0.4759  2 Co 2.30, 2 Li 2.37, 2 Re 2.51
Li 0.6491 0.1250 0.0241  2 Co 2.30, 2 Li 2.37, 2 Re 2.51
Li 0.8750 0.8991 0.5241  2 Co 2.30, 2 Li 2.37, 2 Re 2.51
Co 0.0000 0.0000 0.0000  4 Li 2.30, 2 Re 2.35
Co 0.7500 0.2500 0.5000  4 Li 2.30, 2 Re 2.35
Re 0.2500 0.7500 0.5000  2 Co 2.35, 4 Li 2.51
Re 0.5000 0.5000 0.0000  2 Co 2.35, 4 Li 2.51

---

2:
Compound: Li2CoRe
Source: the Alexandria database
Functional: PBE-GGA
Structure: optimized geometry

The volume comes out at 54 Å³ per cell. Its density of states at the Fermi level is 3.2 states/eV/f.u. The crystal system is trigonal.

Lattice parameters (Å, degrees): 9.2377 9.2377 9.2377 16.35 16.35 16.35
Last column: nearest neighbours and their distance in Å.
Atoms (fractional coordinates):
Li 0.2467 0.2467 0.2467  6 Li 2.63, 3 Co 2.66, 3 Re 2.81
Li 0.7533 0.7533 0.7533  6 Li 2.63, 3 Co 2.66, 3 Re 2.81
Co 0.5000 0.5000 0.5000  6 Co 2.63, 6 Li 2.66
Re 0.0000 0.0000 0.0000  6 Re 2.63, 6 Li 2.81

---

Which structure is the least stable? The one labeled 1.